(1)
# PBE Na2PtPbCl, optimized geometry
# E_form (uncorrected) (eV/atom): -0.010
# Final energy (eV per atom): -2.857
# Total magnetization (μB/cell): 0.00
data_Na2PtPbCl
_cell_length_a 6.2250
_cell_length_b 6.2250
_cell_length_c 4.9757
_cell_angle_alpha 90.00
_cell_angle_beta 90.00
_cell_angle_gamma 90.00
_space_group_name_H-M_alt 'P 4/m m m'
_space_group_IT_number 123
_space_group_name_Hall '-P 4 2'
loop_
_atom_site_label
_atom_site_type_symbol
_atom_site_fract_x
_atom_site_fract_y
_atom_site_fract_z
Na1 Na 0.0000 0.5000 0.0000
Pt1 Pt 0.0000 0.0000 0.5000
Pb1 Pb 0.0000 0.0000 0.0000
Cl1 Cl 0.5000 0.5000 0.5000

=====

(2)
# PBE K4Os, optimized geometry
# DFT formation energy (kcal/mol of atoms): 24.8
# Polymorph energy (0 for the lowest one) (eV per atom): 0.027
# Final energy (eV per atom): -2.049
# Total magnetization (μB/cell): 4.09
data_K4Os
_cell_length_a 7.9053
_cell_length_b 7.9053
_cell_length_c 7.9053
_cell_angle_alpha 90.00
_cell_angle_beta 90.00
_cell_angle_gamma 90.00
_space_group_name_H-M_alt 'I m -3 m'
_space_group_IT_number 229
_space_group_name_Hall '-I 4 2 3'
loop_
_atom_site_label
_atom_site_type_symbol
_atom_site_fract_x
_atom_site_fract_y
_atom_site_fract_z
K1 K 0.2500 0.2500 0.2500
Os1 Os 0.0000 0.0000 0.0000

=====

(3)
# PBE KSrPaO4, optimized geometry
# E_form (uncorrected) (eV/atom): -2.986
# Final energy (eV per atom): -7.573
# Total magnetization (μB/cell): 0.00
data_KSrPaO4
_cell_length_a 4.4326
_cell_length_b 4.4326
_cell_length_c 13.0226
_cell_angle_alpha 90.00
_cell_angle_beta 90.00
_cell_angle_gamma 90.00
_space_group_name_H-M_alt 'I 4 m m'
_space_group_IT_number 107
_space_group_name_Hall 'I 4 -2'
loop_
_atom_site_label
_atom_site_type_symbol
_atom_site_fract_x
_atom_site_fract_y
_atom_site_fract_z
K1 K 0.0000 0.0000 0.0000
Sr1 Sr 0.0000 0.0000 0.2986
Pa1 Pa 0.0000 0.0000 0.6470
O1 O 0.0000 0.0000 0.4851
O2 O 0.0000 0.0000 0.8070
O3 O 0.0000 0.5000 0.1629

=====

(4)
# PBE NdInAu3, optimized geometry
# DFT formation energy (kcal/mol of atoms): -12.3
# Polymorph energy (0 for the lowest one) (eV per atom): 0.000
# Final energy (eV per atom): -4.001
# Total magnetization (μB/cell): 0.00
data_NdInAu3
_cell_length_a 5.6243
_cell_length_b 7.0131
_cell_length_c 5.9925
_cell_angle_alpha 90.00
_cell_angle_beta 102.91
_cell_angle_gamma 90.00
_space_group_name_H-M_alt 'P 1 21/m 1'
_space_group_IT_number 11
loop_
_space_group_symop_operation_xyz
'x,y,z'
'-x,-y,-z'
'-x,y+1/2,-z'
'x,-y+1/2,z'
loop_
_atom_site_label
_atom_site_type_symbol
_atom_site_fract_x
_atom_site_fract_y
_atom_site_fract_z
Nd1 Nd 0.1621 0.2500 0.2562
In1 In 0.4183 0.7500 0.1051
Au1 Au 0.0066 0.2500 0.7386
Au2 Au 0.3208 0.5498 0.6459

=====

(5)
# PBE SrMgAg2F6, optimized geometry
# E_form (uncorrected) (eV/atom): -2.593
# Final energy (eV per atom): -4.614
# Total magnetization (μB/cell): 0.00
data_SrMgAg2F6
_cell_length_a 5.8671
_cell_length_b 6.0670
_cell_length_c 10.2263
_cell_angle_alpha 90.00
_cell_angle_beta 124.09
_cell_angle_gamma 90.00
_space_group_name_H-M_alt 'P 1 21/c 1'
_space_group_IT_number 14
loop_
_space_group_symop_operation_xyz
'x,y,z'
'-x,-y,-z'
'-x,y+1/2,-z+1/2'
'x,-y+1/2,z+1/2'
loop_
_atom_site_label
_atom_site_type_symbol
_atom_site_fract_x
_atom_site_fract_y
_atom_site_fract_z
Sr1 Sr 0.0000 0.0000 0.0000
Mg1 Mg 0.5000 0.0000 0.5000
Ag1 Ag 0.2676 0.0545 0.7496
F1 F 0.1564 0.0565 0.2766
F2 F 0.2850 0.6809 0.0587
F3 F 0.3988 0.2263 0.0714

=====

(6)
# PBE FeI3Cl, optimized geometry
# Polymorph energy (0 for the lowest one) (eV per atom): 0.000
# E_form (uncorrected) (eV/atom): -0.142
# Final energy (eV per atom): -3.134
# Total magnetization (μB/cell): 15.80
data_FeI3Cl
_cell_length_a 7.6459
_cell_length_b 14.3236
_cell_length_c 6.4864
_cell_angle_alpha 90.00
_cell_angle_beta 90.00
_cell_angle_gamma 90.00
_space_group_name_H-M_alt 'C m c 21'
_space_group_IT_number 36
loop_
_space_group_symop_operation_xyz
'x,y,z'
'-x,-y,z+1/2'
'-x,y,z'
'x,-y,z+1/2'
'x+1/2,y+1/2,z'
'-x+1/2,-y+1/2,z+1/2'
'-x+1/2,y+1/2,z'
'x+1/2,-y+1/2,z+1/2'
loop_
_atom_site_label
_atom_site_type_symbol
_atom_site_fract_x
_atom_site_fract_y
_atom_site_fract_z
Fe1 Fe 0.0000 0.2410 0.0000
I1 I 0.0000 0.0945 0.7784
I2 I 0.2330 0.3369 0.7137
Cl1 Cl 0.0000 0.3701 0.1749

=====

(7)
# PBE TlI2NO, optimized geometry
# Polymorph energy (0 for the lowest one) (eV per atom): 0.059
# E_form (uncorrected) (eV/atom): 1.030
# Final energy (eV per atom): -2.720
# Total magnetization (μB/cell): 2.45
data_TlI2NO
_cell_length_a 5.2483
_cell_length_b 5.2483
_cell_length_c 4.6292
_cell_angle_alpha 90.00
_cell_angle_beta 90.00
_cell_angle_gamma 90.00
_space_group_name_H-M_alt 'P 4/m m m'
_space_group_IT_number 123
_space_group_name_Hall '-P 4 2'
loop_
_atom_site_label
_atom_site_type_symbol
_atom_site_fract_x
_atom_site_fract_y
_atom_site_fract_z
Tl1 Tl 0.0000 0.0000 0.0000
I1 I 0.0000 0.5000 0.5000
N1 N 0.5000 0.5000 0.0000
O1 O 0.5000 0.5000 0.5000

=====

(8)
# PBE Cs2SeCl, optimized geometry
# Polymorph energy (0 for the lowest one) (eV per atom): 0.000
# E_form (uncorrected) (eV/atom): -1.419
# Final energy (eV per atom): -3.178
# Total magnetization (μB/cell): 0.00
data_Cs2SeCl
_cell_length_a 9.3321
_cell_length_b 9.5967
_cell_length_c 10.9314
_cell_angle_alpha 90.00
_cell_angle_beta 121.48
_cell_angle_gamma 90.00
_space_group_name_H-M_alt 'P 1 21/c 1'
_space_group_IT_number 14
loop_
_space_group_symop_operation_xyz
'x,y,z'
'-x,-y,-z'
'-x,y+1/2,-z+1/2'
'x,-y+1/2,z+1/2'
loop_
_atom_site_label
_atom_site_type_symbol
_atom_site_fract_x
_atom_site_fract_y
_atom_site_fract_z
Cs1 Cs 0.0980 0.1847 0.1618
Cs2 Cs 0.3449 0.6553 0.2847
Se1 Se 0.0872 0.0263 0.4511
Cl1 Cl 0.3063 0.5572 0.5770